A plane-wave DFT calculation with PBE-GGA was carried out for a relaxed structure of Ce6Al3C.

a = 10.6902 Å, b = 6.4277 Å, c = 7.1777 Å
α = 90.00°, β = 100.28°, γ = 90.00°
With the nearest neighbours (Å) after each atom.
Space group C2/m (No. 12)
Inequivalent atoms, fractional coordinates:
Ce 0.1272 0.2273 0.3806 x8  1 C 2.46
Ce 0.1300 0.5000 0.8467 x4  1 C 2.62
Al 0.0000 0.0000 0.0000 x2  2 Al 2.59
Al 0.1561 0.0000 0.7626 x4  1 Al 2.59
C 0.0000 0.5000 0.5000 x2  6 Ce 2.46-2.62

- ΔE_f (eV per atom) = -0.136
- total energy (eV for the cell shown) = -114.82